A relaxed Ti2Ni2O crystal. Source: Alexandria via LeMat-Bulk, functional GGA+U.

Cell: 5.1799 5.1799 5.1799 Å, 132.93 132.93 68.77°
Last column: nearest neighbours and their distance in Å.
Positions (direct):
Ti (0.2500, 0.7500, 0.5000)  4 Ni 2.34
Ti (0.7500, 0.2500, 0.5000)  4 Ni 2.34
Ni (0.1221, 0.1221, 0.0000)  1 Ni 2.09
Ni (0.8779, 0.8779, 0.0000)  1 Ni 2.09
O (0.5000, 0.5000, 0.0000)  8 Ti 2.97, 10 Ni 3.11-3.23

Summary:
E above lowest polymorph ... 457.5 meV/atom
DOS(E_F) ... 0.87 states/eV/atom



A relaxed TiNi3O crystal. Source: Alexandria via LeMat-Bulk, functional GGA+U.

Cell: 4.2388 4.2388 4.2388 Å, 90.00 90.00 90.00°
Last column: nearest neighbours and their distance in Å.
Positions (direct):
Ti (0.0000, 0.0000, 0.0000)  6 Ni 2.12
Ni (0.0000, 0.0000, 0.5000)  2 Ti 2.12
Ni (0.0000, 0.5000, 0.0000)  2 Ti 2.12
Ni (0.5000, 0.0000, 0.0000)  2 Ti 2.12
O (0.5000, 0.5000, 0.5000)  12 Ni 3.00

Summary:
E above lowest polymorph ... 1785.9 meV/atom
DOS(E_F) ... 0.77 states/eV/atom



A relaxed TiNiO3 crystal. Source: Alexandria via LeMat-Bulk, functional GGA+U.

Cell: 5.4955 5.4955 5.4955 Å, 55.01 55.01 55.01°
Last column: nearest neighbours and their distance in Å.
Positions (direct):
Ti (0.1431, 0.1431, 0.1431)  3 O 1.88
Ti (0.8569, 0.8569, 0.8569)  3 O 1.88
Ni (0.3502, 0.3502, 0.3502)  6 O 2.07-2.13
Ni (0.6498, 0.6498, 0.6498)  6 O 2.07-2.13
O (0.0521, 0.4377, 0.7699)  1 Ti 1.88, 1 Ni 2.07
O (0.2301, 0.9479, 0.5623)  1 Ti 1.88, 1 Ni 2.07
O (0.4377, 0.7699, 0.0521)  1 Ti 1.88, 1 Ni 2.07
O (0.5623, 0.2301, 0.9479)  1 Ti 1.88, 1 Ni 2.07
O (0.7699, 0.0521, 0.4377)  1 Ti 1.88, 1 Ni 2.07
O (0.9479, 0.5623, 0.2301)  1 Ti 1.88, 1 Ni 2.07

Summary:
DOS(E_F) ... 0.00 states/eV/atom



A relaxed Ti4Ni2O crystal. Source: Alexandria via LeMat-Bulk, functional GGA+U.

Cell: 8.1268 8.1268 8.1268 Å, 60.00 60.00 60.00°
Last column: nearest neighbours and their distance in Å.
Positions (direct):
Ti (0.1789, 0.1789, 0.8211)  2 O 2.13
Ti (0.1789, 0.8211, 0.1789)  2 O 2.13
Ti (0.1789, 0.8211, 0.8211)  2 O 2.13
Ti (0.2500, 0.5833, 0.5833)  3 Ni 2.55, 6 Ti 2.71
Ti (0.5682, 0.5682, 0.9318)  2 O 2.13
Ti (0.5682, 0.9318, 0.5682)  2 O 2.13
Ti (0.5682, 0.9318, 0.9318)  2 O 2.13
Ti (0.5833, 0.2500, 0.5833)  3 Ni 2.55, 6 Ti 2.71
Ti (0.5833, 0.5833, 0.2500)  3 Ni 2.55, 6 Ti 2.71
Ti (0.5833, 0.5833, 0.5833)  3 Ni 2.55, 6 Ti 2.71
Ti (0.8211, 0.1789, 0.1789)  2 O 2.13
Ti (0.8211, 0.1789, 0.8211)  2 O 2.13
Ti (0.8211, 0.8211, 0.1789)  2 O 2.13
Ti (0.9318, 0.5682, 0.5682)  2 O 2.13
Ti (0.9318, 0.5682, 0.9318)  2 O 2.13
Ti (0.9318, 0.9318, 0.5682)  2 O 2.13
Ni (0.1627, 0.1627, 0.1627)  3 Ni 2.46, 3 Ti 2.65
Ni (0.1627, 0.1627, 0.5118)  3 Ni 2.46, 3 Ti 2.65
Ni (0.1627, 0.5118, 0.1627)  3 Ni 2.46, 3 Ti 2.65
Ni (0.3713, 0.3713, 0.3713)  3 Ni 2.46, 3 Ti 2.55
Ni (0.3713, 0.3713, 0.8861)  3 Ni 2.46, 3 Ti 2.55
Ni (0.3713, 0.8861, 0.3713)  3 Ni 2.46, 3 Ti 2.55
Ni (0.5118, 0.1627, 0.1627)  3 Ni 2.46, 3 Ti 2.65
Ni (0.8861, 0.3713, 0.3713)  3 Ni 2.46, 3 Ti 2.55
O (0.3754, 0.8749, 0.8749)  6 Ti 2.13
O (0.8749, 0.3754, 0.8749)  6 Ti 2.13
O (0.8749, 0.8749, 0.3754)  6 Ti 2.13
O (0.8749, 0.8749, 0.8749)  6 Ti 2.13

Summary:
E above lowest polymorph ... 138.8 meV/atom
DOS(E_F) ... 1.13 states/eV/atom



A relaxed TiNi4O5 crystal. Source: Alexandria via LeMat-Bulk, functional GGA+U.

Cell: 5.2136 5.2136 5.2136 Å, 99.83 99.83 131.20°
Last column: nearest neighbours and their distance in Å.
Positions (direct):
Ti (0.0000, 0.0000, 0.0000)  6 O 2.07-2.15
Ni (0.1960, 0.5974, 0.7934)  6 O 2.10-2.16
Ni (0.4026, 0.1960, 0.5986)  6 O 2.10-2.16
Ni (0.5974, 0.8040, 0.4014)  6 O 2.10-2.16
Ni (0.8040, 0.4026, 0.2066)  6 O 2.10-2.16
O (0.0975, 0.2927, 0.3902)  1 Ti 2.07, 5 Ni 2.10-2.16
O (0.2927, 0.9025, 0.1953)  1 Ti 2.07, 5 Ni 2.10-2.16
O (0.5000, 0.5000, 0.0000)  4 Ni 2.14, 2 Ti 2.15
O (0.7073, 0.0975, 0.8047)  1 Ti 2.07, 5 Ni 2.10-2.16
O (0.9025, 0.7073, 0.6098)  1 Ti 2.07, 5 Ni 2.10-2.16

Summary:
DOS(E_F) ... 0.62 states/eV/atom



A relaxed Ti3NiO crystal. Source: Alexandria via LeMat-Bulk, functional GGA+U.

Cell: 4.0459 4.0459 4.0459 Å, 90.00 90.00 90.00°
Last column: nearest neighbours and their distance in Å.
Positions (direct):
Ti (0.0000, 0.0000, 0.5000)  2 O 2.02
Ti (0.0000, 0.5000, 0.0000)  2 O 2.02
Ti (0.5000, 0.0000, 0.0000)  2 O 2.02
Ni (0.5000, 0.5000, 0.5000)  12 Ti 2.86
O (0.0000, 0.0000, 0.0000)  6 Ti 2.02

Summary:
DOS(E_F) ... 1.02 states/eV/atom



A relaxed Ti2Ni2O crystal. Source: Alexandria via LeMat-Bulk, functional GGA+U.

Cell: 6.4205 6.4205 3.0643 Å, 90.00 90.00 90.00°
Last column: nearest neighbours and their distance in Å.
Positions (direct):
Ti (0.1724, 0.3276, 0.0000)  6 Ni 2.36-2.49
Ti (0.3276, 0.8276, 0.0000)  6 Ni 2.36-2.49
Ti (0.6724, 0.1724, 0.0000)  6 Ni 2.36-2.49
Ti (0.8276, 0.6724, 0.0000)  6 Ni 2.36-2.49
Ni (0.1297, 0.6297, 0.5000)  1 Ni 2.36, 6 Ti 2.36-2.49, 2 O 2.52
Ni (0.3703, 0.1297, 0.5000)  1 Ni 2.36, 6 Ti 2.36-2.49, 2 O 2.52
Ni (0.6297, 0.8703, 0.5000)  1 Ni 2.36, 6 Ti 2.36-2.49, 2 O 2.52
Ni (0.8703, 0.3703, 0.5000)  1 Ni 2.36, 6 Ti 2.36-2.49, 2 O 2.52
O (0.0000, 0.0000, 0.5000)  4 Ni 2.52
O (0.5000, 0.5000, 0.5000)  4 Ni 2.52

Summary:
E above lowest polymorph ... 0.0 meV/atom
DOS(E_F) ... 0.78 states/eV/atom



A relaxed Ti4Ni2O crystal. Source: Alexandria via LeMat-Bulk, functional GGA+U.

Cell: 8.0811 8.0811 8.0811 Å, 60.00 60.00 60.00°
Last column: nearest neighbours and their distance in Å.
Positions (direct):
Ti (0.0000, 0.0000, 0.0000)  6 Ni 2.51
Ti (0.0000, 0.0000, 0.5000)  6 Ni 2.51
Ti (0.0000, 0.5000, 0.0000)  6 Ni 2.51
Ti (0.1945, 0.1945, 0.5555)  2 O 2.12
Ti (0.1945, 0.5555, 0.1945)  2 O 2.12
Ti (0.1945, 0.5555, 0.5555)  2 O 2.12
Ti (0.4445, 0.4445, 0.8055)  2 O 2.12
Ti (0.4445, 0.8055, 0.4445)  2 O 2.12
Ti (0.4445, 0.8055, 0.8055)  2 O 2.12
Ti (0.5000, 0.0000, 0.0000)  6 Ni 2.51
Ti (0.5555, 0.1945, 0.1945)  2 O 2.12
Ti (0.5555, 0.1945, 0.5555)  2 O 2.12
Ti (0.5555, 0.5555, 0.1945)  2 O 2.12
Ti (0.8055, 0.4445, 0.4445)  2 O 2.12
Ti (0.8055, 0.4445, 0.8055)  2 O 2.12
Ti (0.8055, 0.8055, 0.4445)  2 O 2.12
Ni (0.1392, 0.7869, 0.7869)  6 Ti 2.51-2.63
Ni (0.2131, 0.2131, 0.2131)  6 Ti 2.51-2.63
Ni (0.2131, 0.2131, 0.8608)  6 Ti 2.51-2.63
Ni (0.2131, 0.8608, 0.2131)  6 Ti 2.51-2.63
Ni (0.7869, 0.1392, 0.7869)  6 Ti 2.51-2.63
Ni (0.7869, 0.7869, 0.1392)  6 Ti 2.51-2.63
Ni (0.7869, 0.7869, 0.7869)  6 Ti 2.51-2.63
Ni (0.8608, 0.2131, 0.2131)  6 Ti 2.51-2.63
O (0.0000, 0.5000, 0.5000)  6 Ti 2.12
O (0.5000, 0.0000, 0.5000)  6 Ti 2.12
O (0.5000, 0.5000, 0.0000)  6 Ti 2.12
O (0.5000, 0.5000, 0.5000)  6 Ti 2.12

Summary:
E above lowest polymorph ... 0.0 meV/atom
DOS(E_F) ... 0.82 states/eV/atom



A relaxed TiNiO3 crystal. Source: Alexandria via LeMat-Bulk, functional GGA+U.

Cell: 5.4960 5.4960 5.4960 Å, 54.99 54.99 54.99°
Last column: nearest neighbours and their distance in Å.
Positions (direct):
Ti (0.0000, 0.0000, 0.0000)  3 O 1.86
Ti (0.5000, 0.5000, 0.5000)  3 O 1.86
Ni (0.2087, 0.2087, 0.2087)  6 O 2.06-2.11
Ni (0.7087, 0.7087, 0.7087)  6 O 2.06-2.11
O (0.1325, 0.7860, 0.4034)  1 Ti 1.86, 1 Ni 2.06
O (0.2860, 0.6325, 0.9034)  1 Ti 1.86, 1 Ni 2.06
O (0.4034, 0.1325, 0.7860)  1 Ti 1.86, 1 Ni 2.06
O (0.6325, 0.9034, 0.2860)  1 Ti 1.86, 1 Ni 2.06
O (0.7860, 0.4034, 0.1325)  1 Ti 1.86, 1 Ni 2.06
O (0.9034, 0.2860, 0.6325)  1 Ti 1.86, 1 Ni 2.06

Summary:
DOS(E_F) ... 0.00 states/eV/atom



A relaxed TiNiO3 crystal. Source: Alexandria via LeMat-Bulk, functional GGA+U.

Cell: 5.0647 5.4928 12.6031 Å, 93.11 90.26 117.21°
Last column: nearest neighbours and their distance in Å.
Positions (direct):
Ti (0.0000, 0.0000, 0.0000)  4 O 1.86-2.00
Ti (0.0149, 0.1013, 0.2362)  3 O 1.86-1.89
Ti (0.3080, 0.6717, 0.6683)  3 O 1.84-1.88
Ti (0.6322, 0.3328, 0.3319)  3 O 1.86-1.90
Ti (0.6518, 0.3317, 0.8422)  3 O 1.84-1.98
Ti (0.6909, 0.4297, 0.5683)  4 O 1.86-2.07
Ni (0.0312, 0.1155, 0.7324)  6 O 2.03-2.15
Ni (0.2982, 0.6592, 0.1675)  6 O 2.00-2.15
Ni (0.3596, 0.7807, 0.4024)  6 O 2.06-2.14
Ni (0.3647, 0.7809, 0.9022)  6 O 2.01-2.14
Ni (0.7055, 0.4554, 0.0686)  6 O 2.05-2.17
Ni (0.9605, 0.9815, 0.5008)  6 O 2.05-2.14
O (0.0449, 0.8090, 0.6348)  1 Ti 1.86, 1 Ni 2.06
O (0.0461, 0.4830, 0.7997)  1 Ti 1.87, 1 Ni 2.07
O (0.1347, 0.7344, 0.0356)  1 Ti 1.94, 3 Ni 2.00-2.07
O (0.2021, 0.0690, 0.8718)  1 Ti 1.88, 1 Ni 2.03
O (0.2533, 0.2775, 0.0967)  1 Ti 1.86, 1 Ni 2.08
O (0.2829, 0.9638, 0.2696)  2 Ti 1.89-2.10, 1 Ni 2.08
O (0.3727, 0.4769, 0.3024)  1 Ti 1.86, 1 Ni 2.06
O (0.4114, 0.1618, 0.4744)  1 Ti 1.86, 1 Ni 2.07
O (0.4852, 0.3889, 0.7015)  3 Ti 1.95-2.18, 1 Ni 2.15
O (0.5180, 0.7083, 0.5426)  1 Ti 1.88, 1 Ni 2.07
O (0.5848, 0.9438, 0.7595)  1 Ti 1.84, 1 Ni 2.05
O (0.6402, 0.6110, 0.9255)  1 Ti 1.84, 1 Ni 2.03
O (0.7231, 0.1528, 0.9639)  2 Ti 1.98-2.00, 2 Ni 2.10-2.12
O (0.7434, 0.8409, 0.1376)  1 Ti 1.86, 1 Ni 2.05
O (0.8015, 0.0506, 0.3613)  1 Ti 1.88, 1 Ni 2.05
O (0.8537, 0.3843, 0.2098)  1 Ti 1.87, 1 Ni 2.05
O (0.9093, 0.5991, 0.4322)  2 Ti 1.90-2.07, 2 Ni 2.07-2.13
O (0.9552, 0.2911, 0.5978)  1 Ti 1.86, 1 Ni 2.05

Summary:
DOS(E_F) ... 0.00 states/eV/atom



no.,volume (Å³ per cell),energy (hartree per atom),total moment (μB per cell)
1,73.2,-0.160,0.00
2,76.2,-0.074,0.00
3,103.7,-0.270,4.00
4,379.5,-0.237,3.04
5,97.1,-0.203,6.02
6,66.2,-0.260,0.88
7,126.3,-0.177,0.00
8,373.2,-0.242,7.91
9,103.7,-0.269,4.00
10,311.2,-0.269,12.00